Below is crystalline RbZrGaBi2 at its relaxed geometry, with properties calculated at the GGA-PBE level.

```
RbZrGaBi2
1.0
-1.7759 3.6087 -3.9012
-5.1816 -0.1714 2.2002
1.2910 4.2830 3.3741
Bi Rb Zr Ga
2 1 1 1
Direct
0.5000 0.0000 0.0000 Bi
0.0000 0.0000 0.5000 Bi
0.0000 0.5000 0.0000 Rb
0.5000 0.5000 0.5000 Zr
0.0000 0.0000 0.0000 Ga
```

Density: 6.2 g/cm³
Calculated total energy: -0.120 Ha/atom
Space-group type: P4/mmm, No. 123